Entry 1:
VASP calculation (PBE) on crystalline SrCaTi at its relaxed geometry.

Geometry as POSCAR:
```
SrCaTi
1.0
6.5412 -1.8482 0.0000
6.5412 1.8482 0.0000
-3.1244 0.0000 8.6095
Sr Ca Ti
2 2 2
Direct
0.0000 0.0000 0.0000
0.6950 0.6950 0.8266
0.3360 0.3360 0.2608
0.6444 0.6444 0.4166
0.3601 0.3601 0.6530
0.9772 0.9772 0.5716
```

Properties
Energy relative to the elements = 0.38 eV per atom
Space-group type = Cm, No. 8
Distance to the lowest polymorph of the same formula = 5.3 meV per atom



Entry 2:
VASP calculation (PBE) on crystalline SrCaTi at its relaxed geometry.

Geometry as POSCAR:
```
SrCaTi
1.0
9.0826 -2.8449 0.0000
9.0826 2.8449 0.0000
-0.0114 0.0000 4.5038
Sr Ca Ti
2 2 2
Direct
0.0000 0.0000 0.0000
0.6380 0.6380 0.5060
0.2385 0.2385 0.0088
0.4000 0.4000 0.4979
0.8193 0.8193 0.0348
0.8188 0.8188 0.4970
```

Properties
Energy relative to the elements = 0.43 eV per atom
Space-group type = Cm, No. 8
Distance to the lowest polymorph of the same formula = 54.1 meV per atom